[1]
HfMgTlCu | OQMD | GGA-PBE | optimized geometry; offset from the most stable computed form = 0 meV per atom
1.0
-0.389 -0.649 4.709
-3.910 1.479 2.296
-3.105 -3.186 1.719
Hf Mg Cu Tl
1 1 1 1
direct
0.500 0.500 0.500
0.250 0.250 0.250
0.750 0.750 0.750
0.000 0.000 0.000



[2]
HfCuMo | OQMD | GGA-PBE | optimized geometry; offset from the most stable computed form = 607 meV per atom
1.0
0.000 3.093 3.093
3.093 0.000 3.093
3.093 3.093 0.000
Mo Cu Hf
1 1 1
direct
0.750 0.750 0.750
0.250 0.250 0.250
0.000 0.000 0.000



[3]
HfCuMo | OQMD | GGA-PBE | optimized geometry; offset from the most stable computed form = 0 meV per atom
1.0
0.000 3.007 3.007
3.007 0.000 3.007
3.007 3.007 0.000
Mo Cu Hf
1 1 1
direct
0.750 0.750 0.750
0.000 0.000 0.000
0.250 0.250 0.250



[4]
Hf2CuMo | OQMD | GGA-PBE | optimized geometry; electronic total energy = -8.38 eV per atom
1.0
-3.822 1.063 2.362
-3.273 2.603 -1.955
-4.045 -1.883 -1.186
Hf Mo Cu
2 1 1
direct
0.750 0.750 0.750
0.000 0.000 0.000
0.250 0.250 0.250
0.500 0.500 0.500